An optimized crystal structure of Ho4Tl5Pd2, computed with PBE.

Lattice parameters (Å, degrees): 3.6370 7.9276 9.6996 94.05 90.00 90.00
Last column: nearest neighbours and their distance in Å.
Sites, in units of the cell vectors:
Ho1 0.5000 0.2145 0.4273  4 Pd 2.97-2.98
Ho2 0.5000 0.1941 0.8481  2 Pd 2.86
Ho3 0.5000 0.7855 0.5727  4 Pd 2.97-2.98
Ho4 0.5000 0.8059 0.1519  2 Pd 2.86
Tl1 0.0000 0.5418 0.3351  1 Pd 3.00, 2 Tl 3.24-3.31, 2 Ho 3.34
Tl2 0.0000 0.1492 0.1363  1 Pd 2.97, 1 Tl 3.16, 2 Ho 3.29
Tl3 0.0000 0.5000 0.0000  4 Tl 3.16-3.24, 4 Ho 3.29
Tl4 0.0000 0.4582 0.6649  1 Pd 3.00, 2 Tl 3.24-3.31, 2 Ho 3.34
Tl5 0.0000 0.8508 0.8637  1 Pd 2.97, 1 Tl 3.16, 2 Ho 3.29
Pd1 0.0000 0.9211 0.3659  1 Pd 2.81, 6 Ho 2.86-2.98, 2 Tl 2.97-3.00
Pd2 0.0000 0.0789 0.6341  1 Pd 2.81, 6 Ho 2.86-2.98, 2 Tl 2.97-3.00

Results
Space-group type: P2/m (10)

---

An optimized crystal structure of HoTl2Pd, computed with PBE.

Lattice parameters (Å, degrees): 4.7762 4.4226 4.4226 90.00 90.00 90.00
Last column: nearest neighbours and their distance in Å.
Sites, in units of the cell vectors:
Ho1 0.5000 0.5000 0.5000  4 Pd 3.13, 8 Tl 3.25
Tl1 0.0000 0.5000 0.0000  4 Tl 3.13, 4 Ho 3.25, 4 Pd 3.25
Tl2 0.0000 0.0000 0.5000  4 Tl 3.13, 4 Pd 3.25, 4 Ho 3.25
Pd1 0.5000 0.0000 0.0000  4 Ho 3.13, 8 Tl 3.25

Results
Space-group type: P4/mmm (123)

---

An optimized crystal structure of Ho4TlPd3, computed with PBE.

Lattice parameters (Å, degrees): 5.0307 7.1834 10.0655 90.00 90.00 90.00
Last column: nearest neighbours and their distance in Å.
Sites, in units of the cell vectors:
Ho1 0.5000 0.7635 0.5000  6 Pd 3.04-3.15, 2 Tl 3.15, 1 Ho 3.40
Ho2 0.5000 0.2365 0.0000  6 Pd 3.04-3.15, 2 Tl 3.15, 1 Ho 3.40
Ho3 0.0001 0.2366 0.7500  6 Pd 3.03-3.15, 2 Tl 3.15
Ho4 0.0001 0.7634 0.7500  6 Pd 3.03-3.15, 2 Tl 3.15
Ho5 0.5000 0.2365 0.5000  6 Pd 3.04-3.15, 2 Tl 3.15, 1 Ho 3.40
Ho6 0.9999 0.2366 0.2500  6 Pd 3.03-3.15, 2 Tl 3.15
Ho7 0.5000 0.7635 0.0000  6 Pd 3.04-3.15, 2 Tl 3.15, 1 Ho 3.40
Ho8 0.9999 0.7634 0.2500  6 Pd 3.03-3.15, 2 Tl 3.15
Tl1 0.0000 0.5000 0.5000  8 Ho 3.15
Tl2 0.0000 0.5000 0.0000  8 Ho 3.15
Pd1 0.0000 0.0000 0.5000  8 Ho 3.04
Pd2 0.5005 0.5000 0.2500  8 Ho 3.15
Pd3 0.0000 0.0000 0.0000  8 Ho 3.04
Pd4 0.4995 0.0000 0.2500  8 Ho 3.03-3.04
Pd5 0.4995 0.5000 0.7500  8 Ho 3.15
Pd6 0.5005 0.0000 0.7500  8 Ho 3.03-3.04

Results
Space-group type: P4/mmm (123)

---

An optimized crystal structure of HoTlPd4, computed with PBE.

Lattice parameters (Å, degrees): 3.9541 5.1799 6.5648 103.41 72.47 67.56
Last column: nearest neighbours and their distance in Å.
Sites, in units of the cell vectors:
Ho1 0.5000 0.5000 0.5000  10 Pd 2.86-2.97, 2 Tl 3.10
Pd1 0.8374 0.4956 0.8295  2 Ho 2.86, 7 Pd 2.90-3.12, 3 Tl 2.96-2.97
Pd2 0.3356 0.9971 0.3318  2 Tl 2.87, 7 Pd 2.88-3.12, 3 Ho 2.96-2.97
Pd3 0.6644 0.0029 0.6682  2 Tl 2.87, 7 Pd 2.88-3.12, 3 Ho 2.96-2.97
Pd4 0.1626 0.5044 0.1705  2 Ho 2.86, 7 Pd 2.90-3.12, 3 Tl 2.96-2.97
Tl1 0.0000 0.0000 0.0000  10 Pd 2.87-2.97, 2 Ho 3.10

Results
Energy relative to the lowest polymorph listed for this composition, eV/atom: 0.036
Space-group type: C2/m (12)

---

An optimized crystal structure of Ho2TlPd, computed with PBE.

Lattice parameters (Å, degrees): 3.5512 3.5512 7.6596 90.00 90.00 90.00
Last column: nearest neighbours and their distance in Å.
Sites, in units of the cell vectors:
Tl1 0.5000 0.5000 0.5000  8 Ho 3.29, 4 Tl 3.55
Ho1 0.0000 0.0000 0.7778  4 Pd 3.03, 4 Tl 3.29
Ho2 0.0000 0.0000 0.2222  4 Pd 3.03, 4 Tl 3.29
Pd1 0.5000 0.5000 0.0000  8 Ho 3.03

Results
Space-group type: P4/mmm (123)

---

An optimized crystal structure of HoTlPd4, computed with PBE.

Lattice parameters (Å, degrees): 4.9994 8.9139 5.0295 90.00 103.16 90.00
Last column: nearest neighbours and their distance in Å.
Sites, in units of the cell vectors:
Pd1 0.4998 0.3316 0.4999  7 Pd 2.89-3.12, 3 Tl 2.92-2.96, 2 Ho 2.93
Pd2 0.0000 0.6667 0.0000  7 Pd 2.91-3.12, 3 Ho 2.91-2.97, 2 Tl 2.92
Pd3 0.9998 0.1684 0.4999  7 Pd 2.89-3.12, 3 Tl 2.92-2.96, 2 Ho 2.93
Pd4 0.5000 0.1667 0.0000  7 Pd 2.91-3.12, 3 Ho 2.91-2.97, 2 Tl 2.92
Pd5 0.5000 0.8333 0.0000  7 Pd 2.91-3.12, 3 Ho 2.91-2.97, 2 Tl 2.92
Pd6 0.0002 0.8316 0.5001  7 Pd 2.89-3.12, 3 Tl 2.92-2.96, 2 Ho 2.93
Pd7 0.0000 0.3333 0.0000  7 Pd 2.91-3.12, 3 Ho 2.91-2.97, 2 Tl 2.92
Pd8 0.5002 0.6684 0.5001  7 Pd 2.89-3.12, 3 Tl 2.92-2.96, 2 Ho 2.93
Ho1 0.0000 0.0000 0.0000  10 Pd 2.91-2.97, 2 Tl 3.12
Ho2 0.5000 0.5000 0.0000  10 Pd 2.91-2.97, 2 Tl 3.12
Tl1 0.0000 0.5000 0.5000  10 Pd 2.92-2.96, 2 Ho 3.12
Tl2 0.5000 0.0000 0.5000  10 Pd 2.92-2.96, 2 Ho 3.12

Results
Energy relative to the lowest polymorph listed for this composition, eV/atom: 0.057
Space-group type: C2/m (12)

---

Calculated values (eV/f.u.) of energy of formation for the records, taken in order: -5.5; -1.2; -5.8; -3.3; -2.5; -3.1.
Calculated values (μB per formula unit) of total moment for the records, taken in order: 0.00; 0.00; 0.00; 0.00; 0.00; 0.00.